Run a
Computed, not measured: a relaxed SrEuPb crystal at the GGA-PBE level of DFT.

Results
Spin magnetization, μB per formula unit: 7.54

Lattice parameters (Å, degrees): 10.183 10.183 10.183 159.43 159.43 29.25
Atoms (fractional coordinates):
Sr  0.000  0.000  0.000
Eu  0.662  0.662  0.000
Pb  0.828  0.828  0.000


Run b
Computed, not measured: a relaxed SrEuPb crystal at the GGA-PBE level of DFT.

Results
Spin magnetization, μB per formula unit: 7.00

Lattice parameters (Å, degrees): 5.654 5.654 5.654 60.00 60.00 60.00
Atoms (fractional coordinates):
Sr  0.000  0.000  0.000
Eu  0.500  0.500  0.500
Pb  0.750  0.750  0.750


Each structure's energy above the most stable one, in meV/atom: run a 619; run b 0.


Run a
Computed, not measured: a relaxed Tb2EuPb crystal at the GGA-PBE level of DFT.

Results
Spin magnetization, μB per formula unit: 7.71

Lattice parameters (Å, degrees): 4.980 4.980 4.853 90.00 90.00 90.00
Atoms (fractional coordinates):
Tb  0.000  0.500  0.000
Tb  0.500  0.000  0.000
Eu  0.000  0.000  0.500
Pb  0.500  0.500  0.500


Run b
Computed, not measured: a relaxed Tb2EuPb crystal at the GGA-PBE level of DFT.

Results
Spin magnetization, μB per formula unit: 7.52

Lattice parameters (Å, degrees): 12.499 12.499 12.499 16.51 16.51 16.51
Atoms (fractional coordinates):
Tb  0.086  0.086  0.086
Tb  0.914  0.914  0.914
Eu  0.500  0.500  0.500
Pb  0.000  0.000  0.000


Each structure's energy above the most stable one, in meV/atom: run a 0; run b 370.


Run a
Computed, not measured: a relaxed Eu2TePb crystal at the GGA-PBE level of DFT.

Results
Spin magnetization, μB per formula unit: 13.86

Lattice parameters (Å, degrees): 3.891 3.891 8.497 90.00 90.00 90.00
Atoms (fractional coordinates):
Eu  0.000  0.000  0.232
Eu  0.000  0.000  0.768
Te  0.500  0.500  0.000
Pb  0.500  0.500  0.500


Run b
Computed, not measured: a relaxed Eu2TePb crystal at the GGA-PBE level of DFT.

Results
Spin magnetization, μB per formula unit: 13.92

Lattice parameters (Å, degrees): 8.990 8.990 8.990 28.09 28.09 28.09
Atoms (fractional coordinates):
Eu  0.244  0.244  0.244
Eu  0.756  0.756  0.756
Te  0.500  0.500  0.500
Pb  0.000  0.000  0.000


Each structure's energy above the most stable one, in meV/atom: run a 22; run b 0.


Run a
Computed, not measured: a relaxed EuTh2Pb crystal at the GGA-PBE level of DFT.

Results
Spin magnetization, μB per formula unit: 7.33

Lattice parameters (Å, degrees): 4.924 4.924 5.111 90.00 90.00 90.00
Atoms (fractional coordinates):
Eu  0.000  0.000  0.000
Th  0.000  0.500  0.500
Th  0.500  0.000  0.500
Pb  0.500  0.500  0.000


Run b
Computed, not measured: a relaxed EuTh2Pb crystal at the GGA-PBE level of DFT.

Results
Spin magnetization, μB per formula unit: 7.39

Lattice parameters (Å, degrees): 12.795 12.795 12.795 15.63 15.63 15.63
Atoms (fractional coordinates):
Eu  0.000  0.000  0.000
Th  0.091  0.091  0.091
Th  0.909  0.909  0.909
Pb  0.500  0.500  0.500


Each structure's energy above the most stable one, in meV/atom: run a 0; run b 268.


Run a
Computed, not measured: a relaxed EuThPb crystal at the GGA-PBE level of DFT.

Results
Spin magnetization, μB per formula unit: 7.87

Lattice parameters (Å, degrees): 5.585 5.585 3.378 90.00 90.00 120.00
Atoms (fractional coordinates):
Eu  0.000  0.000  0.000
Th  0.667  0.333  0.995
Pb  0.333  0.667  0.499


Run b
Computed, not measured: a relaxed EuThPb crystal at the GGA-PBE level of DFT.

Results
Spin magnetization, μB per formula unit: 7.61

Lattice parameters (Å, degrees): 5.957 5.957 5.957 138.21 138.21 60.58
Atoms (fractional coordinates):
Eu  0.000  0.000  0.000
Th  0.685  0.685  0.000
Pb  0.342  0.342  0.000


Each structure's energy above the most stable one, in meV/atom: run a 209; run b 0.


Run a
Computed, not measured: a relaxed EuY2Pb crystal at the GGA-PBE level of DFT.

Results
Spin magnetization, μB per formula unit: 8.28

Lattice parameters (Å, degrees): 5.007 5.007 4.833 90.00 90.00 90.00
Atoms (fractional coordinates):
Eu  0.000  0.000  0.000
Y  0.000  0.500  0.500
Y  0.500  0.000  0.500
Pb  0.500  0.500  0.000


Run b
Computed, not measured: a relaxed EuY2Pb crystal at the GGA-PBE level of DFT.

Results
Spin magnetization, μB per formula unit: 7.52

Lattice parameters (Å, degrees): 12.469 12.469 12.469 16.61 16.61 16.61
Atoms (fractional coordinates):
Eu  0.000  0.000  0.000
Y  0.415  0.415  0.415
Y  0.585  0.585  0.585
Pb  0.500  0.500  0.500


Each structure's energy above the most stable one, in meV/atom: run a 0; run b 372.


Run a
Computed, not measured: a relaxed PmEuPd2 crystal at the GGA-PBE level of DFT.

Results
Spin magnetization, μB per formula unit: 7.10

Lattice parameters (Å, degrees): 5.101 5.101 5.101 60.00 60.00 60.00
Atoms (fractional coordinates):
Pm  0.000  0.000  0.000
Eu  0.500  0.500  0.500
Pd  0.250  0.250  0.250
Pd  0.750  0.750  0.750


Run b
Computed, not measured: a relaxed PmEuPd2 crystal at the GGA-PBE level of DFT.

Results
Spin magnetization, μB per formula unit: 7.00

Lattice parameters (Å, degrees): 7.378 7.378 7.378 33.05 33.05 33.05
Atoms (fractional coordinates):
Pm  0.000  0.000  0.000
Eu  0.500  0.500  0.500
Pd  0.254  0.254  0.254
Pd  0.746  0.746  0.746


Each structure's energy above the most stable one, in meV/atom: run a 0; run b 103.


Run a
Computed, not measured: a relaxed PmEu2Pd crystal at the GGA-PBE level of DFT.

Results
Spin magnetization, μB per formula unit: 14.71

Lattice parameters (Å, degrees): 11.082 11.082 11.082 19.75 19.75 19.75
Atoms (fractional coordinates):
Pm  0.000  0.000  0.000
Eu  0.108  0.108  0.108
Eu  0.892  0.892  0.892
Pd  0.500  0.500  0.500


Run b
Computed, not measured: a relaxed PmEu2Pd crystal at the GGA-PBE level of DFT.

Results
Spin magnetization, μB per formula unit: 14.28

Lattice parameters (Å, degrees): 3.657 3.657 9.202 90.00 90.00 90.00
Atoms (fractional coordinates):
Pm  0.000  0.000  0.000
Eu  0.500  0.500  0.310
Eu  0.500  0.500  0.690
Pd  0.000  0.000  0.500


Each structure's energy above the most stable one, in meV/atom: run a 196; run b 0.


Run a
Computed, not measured: a relaxed Pr2EuPd crystal at the GGA-PBE level of DFT.

Results
Spin magnetization, μB per formula unit: 8.28

Lattice parameters (Å, degrees): 3.727 3.727 9.134 90.00 90.00 90.00
Atoms (fractional coordinates):
Pr  0.000  0.000  0.188
Pr  0.000  0.000  0.812
Eu  0.500  0.500  0.500
Pd  0.500  0.500  0.000


Run b
Computed, not measured: a relaxed Pr2EuPd crystal at the GGA-PBE level of DFT.

Results
Spin magnetization, μB per formula unit: 7.99

Lattice parameters (Å, degrees): 10.160 10.160 10.160 22.95 22.95 22.95
Atoms (fractional coordinates):
Pr  0.226  0.226  0.226
Pr  0.774  0.774  0.774
Eu  0.000  0.000  0.000
Pd  0.500  0.500  0.500


Each structure's energy above the most stable one, in meV/atom: run a 0; run b 44.


Run a
Computed, not measured: a relaxed PrEu2Pd crystal at the GGA-PBE level of DFT.

Results
Spin magnetization, μB per formula unit: 14.70

Lattice parameters (Å, degrees): 11.121 11.121 11.121 19.85 19.85 19.85
Atoms (fractional coordinates):
Pr  0.000  0.000  0.000
Eu  0.108  0.108  0.108
Eu  0.892  0.892  0.892
Pd  0.500  0.500  0.500


Run b
Computed, not measured: a relaxed PrEu2Pd crystal at the GGA-PBE level of DFT.

Results
Spin magnetization, μB per formula unit: 14.26

Lattice parameters (Å, degrees): 3.675 3.675 9.239 90.00 90.00 90.00
Atoms (fractional coordinates):
Pr  0.000  0.000  0.000
Eu  0.500  0.500  0.312
Eu  0.500  0.500  0.688
Pd  0.000  0.000  0.500


Each structure's energy above the most stable one, in meV/atom: run a 184; run b 0.


Run a
Computed, not measured: a relaxed EuPu2Pd crystal at the GGA-PBE level of DFT.

Results
Spin magnetization, μB per formula unit: 4.85

Lattice parameters (Å, degrees): 5.110 5.110 5.110 60.00 60.00 60.00
Atoms (fractional coordinates):
Eu  0.000  0.000  0.000
Pu  0.250  0.250  0.250
Pu  0.750  0.750  0.750
Pd  0.500  0.500  0.500


Run b
Computed, not measured: a relaxed EuPu2Pd crystal at the GGA-PBE level of DFT.

Results
Spin magnetization, μB per formula unit: 19.51

Lattice parameters (Å, degrees): 3.670 3.670 8.235 90.00 90.00 90.00
Atoms (fractional coordinates):
Eu  0.000  0.000  0.000
Pu  0.500  0.500  0.309
Pu  0.500  0.500  0.691
Pd  0.000  0.000  0.500


Each structure's energy above the most stable one, in meV/atom: run a 165; run b 0.


Run a
Computed, not measured: a relaxed EuPuPd2 crystal at the GGA-PBE level of DFT.

Results
Spin magnetization, μB per formula unit: 1.37

Lattice parameters (Å, degrees): 5.119 5.119 3.459 90.00 90.00 90.00
Atoms (fractional coordinates):
Eu  0.000  0.000  0.000
Pu  0.500  0.500  0.000
Pd  0.000  0.500  0.500
Pd  0.500  0.000  0.500


Run b
Computed, not measured: a relaxed EuPuPd2 crystal at the GGA-PBE level of DFT.

Results
Spin magnetization, μB per formula unit: 12.93

Lattice parameters (Å, degrees): 10.351 10.351 10.351 17.78 17.78 17.78
Atoms (fractional coordinates):
Eu  0.000  0.000  0.000
Pu  0.500  0.500  0.500
Pd  0.413  0.413  0.413
Pd  0.587  0.587  0.587


Each structure's energy above the most stable one, in meV/atom: run a 0; run b 520.